Material: HfSc2Sb2
Method: DFT, GGA-PBEsol
State: optimized geometry

Properties
Raw formation energy, eV/atom: -0.7392
Space-group type: No. 127

Lattice parameters (Å, degrees): 3.8635 7.5616 7.5616 90.00 90.00 90.00
Last column: nearest neighbours and their distance in Å.
Sites, in units of the cell vectors:
1 Sc 0.5000 0.1577 0.6577  6 Sb 2.86-3.00
2 Sc 0.5000 0.6577 0.8423  6 Sb 2.86-3.00
3 Sc 0.5000 0.8423 0.3423  6 Sb 2.86-3.00
4 Sc 0.5000 0.3423 0.1577  6 Sb 2.86-3.00
5 Sb 0.0000 0.3545 0.8545  6 Sc 2.86-3.00, 2 Hf 2.90, 1 Sb 3.11
6 Sb 0.0000 0.8545 0.6455  6 Sc 2.86-3.00, 2 Hf 2.90, 1 Sb 3.11
7 Sb 0.0000 0.6455 0.1455  6 Sc 2.86-3.00, 2 Hf 2.90, 1 Sb 3.11
8 Sb 0.0000 0.1455 0.3545  6 Sc 2.86-3.00, 2 Hf 2.90, 1 Sb 3.11
9 Hf 0.0000 0.0000 0.0000  4 Sb 2.90
10 Hf 0.0000 0.5000 0.5000  4 Sb 2.90

Material: Hf2SbSe
Method: DFT, GGA-PBEsol
State: optimized geometry

Properties
Raw formation energy, eV/atom: -0.0170
Space-group type: No. 122

Lattice parameters (Å, degrees): 6.0732 6.0732 7.5794 113.62 113.62 90.00
Last column: nearest neighbours and their distance in Å.
Sites, in units of the cell vectors:
1 Sb 0.2500 0.7500 0.5000  4 Hf 2.76
2 Sb 0.0000 0.0000 0.0000  4 Hf 2.76
3 Hf 0.8457 0.3750 0.2500  2 Se 2.56, 2 Sb 2.76
4 Hf 0.4043 0.8750 0.2500  2 Se 2.56, 2 Sb 2.76
5 Hf 0.6250 0.5957 0.7500  2 Se 2.56, 2 Sb 2.76
6 Hf 0.1250 0.1543 0.7500  2 Se 2.56, 2 Sb 2.76
7 Se 0.7500 0.2500 0.5000  4 Hf 2.56
8 Se 0.5000 0.5000 0.0000  4 Hf 2.56

Material: HfSbSe2
Method: DFT, GGA-PBEsol
State: optimized geometry

Properties
Raw formation energy, eV/atom: 0.0529
Space-group type: No. 166

Lattice parameters (Å, degrees): 3.6285 3.6285 9.1506 78.56 78.56 60.00
Last column: nearest neighbours and their distance in Å.
Sites, in units of the cell vectors:
1 Sb 0.5000 0.5000 0.5000  6 Se 2.84
2 Hf 0.0000 0.0000 0.0000  2 Se 2.53
3 Se 0.9052 0.9052 0.2844  1 Hf 2.53
4 Se 0.0948 0.0948 0.7156  1 Hf 2.53

Material: HfSiSbSe2
Method: DFT, GGA-PBEsol
State: optimized geometry

Properties
Raw formation energy, eV/atom: 0.8862
Space-group type: No. 123

Lattice parameters (Å, degrees): 4.9953 5.0911 5.0911 90.00 90.00 90.00
Last column: nearest neighbours and their distance in Å.
Sites, in units of the cell vectors:
1 Sb 0.0000 0.0000 0.0000  2 Si 2.50, 4 Se 2.55
2 Si 0.5000 0.0000 0.0000  2 Sb 2.50
3 Hf 0.5000 0.5000 0.5000  8 Se 3.57, 4 Si 3.60
4 Se 0.0000 0.0000 0.5000  2 Sb 2.55
5 Se 0.0000 0.5000 0.0000  2 Sb 2.55

Material: HfSi3Sb
Method: DFT, GGA-PBEsol
State: optimized geometry

Properties
Raw formation energy, eV/atom: 1.4199
Space-group type: No. 221

Lattice parameters (Å, degrees): 4.9304 4.9304 4.9304 90.00 90.00 90.00
Last column: nearest neighbours and their distance in Å.
Sites, in units of the cell vectors:
1 Sb 0.0000 0.0000 0.0000  6 Si 2.47
2 Si 0.0000 0.5000 0.0000  2 Sb 2.47
3 Si 0.0000 0.0000 0.5000  2 Sb 2.47
4 Si 0.5000 0.0000 0.0000  2 Sb 2.47
5 Hf 0.5000 0.5000 0.5000  12 Si 3.49

Material: HfSiSb3
Method: DFT, GGA-PBEsol
State: optimized geometry

Properties
Raw formation energy, eV/atom: 0.7279
Space-group type: No. 221

Lattice parameters (Å, degrees): 5.3939 5.3939 5.3939 90.00 90.00 90.00
Last column: nearest neighbours and their distance in Å.
Sites, in units of the cell vectors:
1 Sb 0.0000 0.5000 0.0000  2 Hf 2.70
2 Sb 0.0000 0.0000 0.5000  2 Hf 2.70
3 Sb 0.5000 0.0000 0.0000  2 Hf 2.70
4 Si 0.5000 0.5000 0.5000  12 Sb 3.81
5 Hf 0.0000 0.0000 0.0000  6 Sb 2.70

Please write out number 5 again, unchanged.
Material: HfSi3Sb
Method: DFT, GGA-PBEsol
State: optimized geometry

Properties
Raw formation energy, eV/atom: 1.4199
Space-group type: No. 221

Lattice parameters (Å, degrees): 4.9304 4.9304 4.9304 90.00 90.00 90.00
Last column: nearest neighbours and their distance in Å.
Sites, in units of the cell vectors:
1 Sb 0.0000 0.0000 0.0000  6 Si 2.47
2 Si 0.0000 0.5000 0.0000  2 Sb 2.47
3 Si 0.0000 0.0000 0.5000  2 Sb 2.47
4 Si 0.5000 0.0000 0.0000  2 Sb 2.47
5 Hf 0.5000 0.5000 0.5000  12 Si 3.49